# 1
The following is a PBE calculation of a relaxed HfNiC2 crystal, from Alexandria.

The calculation puts the density of states at the Fermi level at 2.5 states/eV/f.u. The relative energy among the computed polymorphs comes out at 0 meV/atom. The formation enthalpy at 0 K comes out at 0.49 eV/atom. The value obtained for the total energy is -8.0584 eV per atom.

The space group is I-42d (No. 122) and the conventional cell measures 4.220, 4.220 and 11.006 Å, with angles of 90.00, 90.00 and 90.00 degrees. Symmetry generates all atoms from Hf at (0.000, 0.000, 0.000), Ni at (0.000, 0.000, 0.500) and C at (0.179, 0.250, 0.625).

---

# 2
The following is a PBE calculation of a relaxed HfNi6C crystal, from Alexandria.

The calculation puts the density of states at the Fermi level at 4.3 states/eV/f.u. The formation enthalpy at 0 K comes out at -0.09 eV/atom. The value obtained for the total energy is -6.8277 eV per atom.

The space group is R-3m (No. 166, hexagonal axes) and the conventional cell measures 4.9955, 4.9955 and 13.5155 Å, with angles of 90.00, 90.00 and 120.00 degrees. Symmetry generates all atoms from Hf at (0.0000, 0.0000, 0.0000), Ni at (0.0136, 0.5068, 0.9124) and C at (0.0000, 0.0000, 0.5000).

---

# 3
The following is a PBE calculation of a relaxed Hf6NiC3 crystal, from Alexandria.

The calculation puts the density of states at the Fermi level at 5.6 states/eV/f.u. The formation enthalpy at 0 K comes out at -0.61 eV/atom. The value obtained for the total energy is -9.9235 eV per atom.

The space group is P2_1/m (No. 11) and the conventional cell measures 10.054, 3.309 and 10.500 Å, with angles of 90.00, 116.11 and 90.00 degrees. Symmetry generates all atoms from Hf at (0.050, 0.250, 0.396), Hf at (0.099, 0.750, 0.932), Hf at (0.234, 0.750, 0.266), Hf at (0.249, 0.250, 0.781), Hf at (0.420, 0.250, 0.569), Hf at (0.446, 0.250, 0.113), Ni at (0.224, 0.750, 0.579), C at (0.020, 0.250, 0.775), C at (0.342, 0.750, 0.950) and C at (0.404, 0.250, 0.340).

---

# 4
The following is a PBE calculation of a relaxed Hf4Ni2C crystal, from Alexandria.

The calculation puts the density of states at the Fermi level at 5.9 states/eV/f.u. The formation enthalpy at 0 K comes out at -0.32 eV/atom. The value obtained for the total energy is -8.9766 eV per atom.

The space group is C2/m (No. 12) and the conventional cell measures 13.427, 3.263 and 5.717 Å, with angles of 90.00, 112.57 and 90.00 degrees. Symmetry generates all atoms from Hf at (0.090, 0.000, 0.425), Hf at (0.119, 0.500, 0.970), Ni at (0.238, 0.500, 0.667) and C at (0.000, 0.000, 0.000).

---

# 5
The following is a PBE calculation of a relaxed Hf3NiC crystal, from Alexandria.

The calculation puts the density of states at the Fermi level at 3.7 states/eV/f.u. The relative energy among the computed polymorphs comes out at 0 meV/atom. The formation enthalpy at 0 K comes out at -0.61 eV/atom. The value obtained for the total energy is -9.5863 eV per atom.

The space group is Cmcm (No. 63) and the conventional cell measures 3.292, 11.185 and 8.791 Å, with angles of 90.00, 90.00 and 90.00 degrees. Symmetry generates all atoms from Hf at (0.000, 0.066, 0.250), Hf at (0.000, 0.369, 0.064), Ni at (0.000, 0.251, 0.750) and C at (0.000, 0.000, 0.000).

---

# 6
The following is a PBE calculation of a relaxed Hf4NiC crystal, from Alexandria.

The calculation puts the density of states at the Fermi level at 6.9 states/eV/f.u. The formation enthalpy at 0 K comes out at -0.21 eV/atom. The value obtained for the total energy is -9.3471 eV per atom.

The space group is I4_1md (No. 109) and the conventional cell measures 7.925, 7.925 and 7.175 Å, with angles of 90.00, 90.00 and 90.00 degrees. Symmetry generates all atoms from Hf at (0.000, 0.197, 0.000), Hf at (0.000, 0.212, 0.444), Ni at (0.000, 0.000, 0.711) and C at (0.000, 0.000, 0.233).

---

# 7
The following is a PBE calculation of a relaxed Hf2NiCSe crystal, from Alexandria.

The calculation puts the density of states at the Fermi level at 4.9 states/eV/f.u. The value obtained for the total energy is -8.1411 eV per atom.

The space group is P4/mmm (No. 123) and the conventional cell measures 4.618, 4.618 and 3.606 Å, with angles of 90.00, 90.00 and 90.00 degrees. Symmetry generates all atoms from Hf at (0.000, 0.500, 0.000), Ni at (0.000, 0.000, 0.500), C at (0.000, 0.000, 0.000) and Se at (0.500, 0.500, 0.500).

---

# 8
The following is a PBE calculation of a relaxed HfTc2NiC crystal, from Alexandria.

The calculation puts the density of states at the Fermi level at 2.2 states/eV/f.u. The formation enthalpy at 0 K comes out at -0.26 eV/atom. The value obtained for the total energy is -9.3985 eV per atom.

The space group is P4/mmm (No. 123) and the conventional cell measures 4.174, 4.174 and 3.800 Å, with angles of 90.00, 90.00 and 90.00 degrees. Symmetry generates all atoms from Hf at (0.000, 0.000, 0.000), Tc at (0.000, 0.500, 0.500), Ni at (0.500, 0.500, 0.000) and C at (0.500, 0.500, 0.500).

---

# 9
The following is a PBE calculation of a relaxed Hf5NpC6 crystal, from Alexandria.

The calculation puts the density of states at the Fermi level at 5.3 states/eV/f.u. The formation enthalpy at 0 K comes out at -0.77 eV/atom. The value obtained for the total energy is -10.6105 eV per atom.

The space group is C2/m (No. 12) and the conventional cell measures 5.746, 9.957 and 5.746 Å, with angles of 90.00, 109.41 and 90.00 degrees. Symmetry generates all atoms from Hf at (0.000, 0.000, 0.000), Hf at (0.000, 0.166, 0.500), Hf at (0.000, 0.332, 0.000), Np at (0.000, 0.500, 0.500), C at (0.245, 0.500, 0.255) and C at (0.247, 0.336, 0.749).

---

# 10
The following is a PBE calculation of a relaxed HfNpC crystal, from Alexandria.

The calculation puts the density of states at the Fermi level at 4.2 states/eV/f.u. The formation enthalpy at 0 K comes out at 0.02 eV/atom. The value obtained for the total energy is -10.6860 eV per atom.

The space group is Pnma (No. 62) and the conventional cell measures 7.569, 3.268 and 8.332 Å, with angles of 90.00, 90.00 and 90.00 degrees. Symmetry generates all atoms from Hf at (0.005, 0.250, 0.159), Np at (0.118, 0.250, 0.497) and C at (0.167, 0.250, 0.930).

---

# 11
The following is a PBE calculation of a relaxed HfNpC2 crystal, from Alexandria.

The calculation puts the density of states at the Fermi level at 3.9 states/eV/f.u. The formation enthalpy at 0 K comes out at -0.39 eV/atom. The value obtained for the total energy is -10.7301 eV per atom.

The space group is R-3m (No. 166, hexagonal axes) and the conventional cell measures 3.3531, 3.3531 and 17.0175 Å, with angles of 90.00, 90.00 and 120.00 degrees. Symmetry generates all atoms from Hf at (0.0000, 0.0000, 0.0000), Np at (0.0000, 0.0000, 0.5000) and C at (0.0000, 0.0000, 0.2536).

---

# 12
The following is a PBE calculation of a relaxed Hf5C4O crystal, from Alexandria.

The calculation puts the density of states at the Fermi level at 2.5 states/eV/f.u. The value obtained for the total energy is -10.4835 eV per atom.

The space group is C2/m (No. 12) and the conventional cell measures 10.852, 3.280 and 8.046 Å, with angles of 90.00, 119.42 and 90.00 degrees. Symmetry generates all atoms from Hf at (0.000, 0.000, 0.000), Hf at (0.104, 0.500, 0.392), Hf at (0.204, 0.000, 0.808), C at (0.100, 0.500, 0.897), C at (0.202, 0.000, 0.305) and O at (0.000, 0.000, 0.500).

---

Question: Which formula does entry 3 have?
Answer: Hf6NiC3